*P*
DFT (PBE) results for a geometry-optimized TlSiCl structure.

Cell: 4.8598 4.8598 4.8598 Å, 60.00 60.00 60.00°
Closest atoms and distances in Å follow each position.
Atoms (fractional coordinates):
Tl 0.0000 0.0000 0.0000  4 Si 2.98
Cl 0.5000 0.5000 0.5000  4 Si 2.98
Si 0.2500 0.2500 0.2500  4 Tl 2.98, 4 Cl 2.98

N(E_F) (states/eV/cell): 3.4

---

*Q*
DFT (PBE) results for a geometry-optimized TlSiCl structure.

Cell: 5.0201 5.0201 5.0201 Å, 60.00 60.00 60.00°
Closest atoms and distances in Å follow each position.
Atoms (fractional coordinates):
Si 0.5000 0.5000 0.5000  4 Tl 3.07
Tl 0.2500 0.2500 0.2500  4 Cl 3.07, 4 Si 3.07
Cl 0.0000 0.0000 0.0000  4 Tl 3.07

N(E_F) (states/eV/cell): 2.5

---

*R*
DFT (PBE) results for a geometry-optimized TlSiCl structure.

Cell: 5.0328 5.0328 3.2194 Å, 90.00 90.00 120.00°
Closest atoms and distances in Å follow each position.
Atoms (fractional coordinates):
Tl 0.3333 0.6667 0.6661  2 Tl 3.22, 6 Si 3.32, 6 Cl 3.32
Si 0.6667 0.3333 0.1674  3 Cl 2.91, 2 Si 3.22
Cl 0.0000 0.0000 0.1665  3 Si 2.91, 2 Cl 3.22

N(E_F) (states/eV/cell): 2.1

---

*S*
DFT (PBE) results for a geometry-optimized TlSiCl structure.

Cell: 6.2636 6.2636 6.2636 Å, 146.67 146.67 47.85°
Closest atoms and distances in Å follow each position.
Atoms (fractional coordinates):
Tl 0.6909 0.6909 0.0000  4 Si 3.04, 1 Cl 3.23
Si 0.3360 0.3360 0.0000  4 Cl 2.99, 4 Tl 3.04
Cl 0.9731 0.9731 0.0000  4 Si 2.99, 1 Tl 3.23

N(E_F) (states/eV/cell): 1.6

---

Last place for stability: *Q*

---

*P*
DFT (PBE) results for a geometry-optimized TlSiCl structure.

Cell: 8.2741 7.9094 3.3257 Å, 84.37 72.05 23.58°
Closest atoms and distances in Å follow each position.
Atoms (fractional coordinates):
Si 0.6482 0.6482 0.3518  2 Cl 2.46
Tl 0.3242 0.3242 0.6758  2 Si 3.16, 6 Tl 3.21-3.33, 2 Cl 3.53
Cl 0.0275 0.0275 0.9725  2 Si 2.46

N(E_F) (states/eV/cell): 1.5

---

*Q*
DFT (PBE) results for a geometry-optimized TlSiCl structure.

Cell: 6.2117 6.2117 6.2117 Å, 144.33 138.15 56.14°
Closest atoms and distances in Å follow each position.
Atoms (fractional coordinates):
Cl 0.0302 0.0302 0.0000  1 Si 2.20
Si 0.2305 0.2305 0.0000  1 Cl 2.20
Tl 0.7393 0.7393 0.0000  4 Si 2.92, 1 Cl 3.19

N(E_F) (states/eV/cell): 0.8

---

Last place for stability: *P*